DFT (PBE-GGA) results for an optimized crystal structure of Rb3Mg2Cl5F2.

Summary:
As for the formation energy (no corrections): -2218 meV per atom. For the volume, the calculation gives 25.733 Å³ per atom. As for the symmetry: I4/mmm, No. 139.

Cell: 5.1336 5.1336 12.2670 Å, 102.08 102.08 90.00°
Element x y z (fractional)
Cl 0.6050 0.1050 0.2101
Cl 0.1050 0.6050 0.2101
Cl 0.8950 0.3950 0.7899
Cl 0.5000 0.5000 0.0000
Cl 0.3950 0.8950 0.7899
Mg 0.3906 0.3906 0.7811
Mg 0.6094 0.6094 0.2189
Rb 0.8063 0.8063 0.6125
Rb 0.0000 0.0000 0.0000
Rb 0.1937 0.1937 0.3875
F 0.3089 0.3089 0.6178
F 0.6911 0.6911 0.3822

***

DFT (PBE-GGA) results for an optimized crystal structure of TaBe2V2.

Summary:
Its formation energy is -0.061 eV/atom. For the volume, the calculation gives 12.412 Å³ per atom. As for the symmetry: P4/mbm, No. 127.

Cell: 6.3683 6.3683 3.0605 Å, 90.00 90.00 90.00°
Element x y z (fractional)
Ta 0.5000 0.5000 0.0000
Ta 0.0000 0.0000 0.0000
Be 0.8855 0.6145 0.0000
Be 0.1145 0.3855 0.0000
Be 0.6145 0.1145 0.0000
Be 0.3855 0.8855 0.0000
V 0.6784 0.8216 0.5000
V 0.1784 0.6784 0.5000
V 0.3216 0.1784 0.5000
V 0.8216 0.3216 0.5000

***

DFT (PBE-GGA) results for an optimized crystal structure of Na2TlPd.

Summary:
Its formation energy is -0.103 eV/atom. For the volume, the calculation gives 22.057 Å³ per atom. As for the symmetry: P4/mmm, No. 123.

Cell: 4.8645 4.2588 4.2588 Å, 90.00 90.00 90.00°
Element x y z (fractional)
Pd 0.5000 0.5000 0.5000
Tl 0.5000 0.0000 0.0000
Na 0.0000 0.5000 0.0000
Na 0.0000 0.0000 0.5000

***

DFT (PBE-GGA) results for an optimized crystal structure of Er2TeSe.

Summary:
As for the formation energy (no corrections): -1507 meV per atom. As for the energy above the most stable polymorph in this dataset: 0.0 meV/atom. For the volume, the calculation gives 25.770 Å³ per atom. As for the symmetry: R3m, No. 160.

Cell: 4.0563 4.0563 7.6036 Å, 74.53 74.53 60.00°
Element x y z (fractional)
Er 0.2600 0.2600 0.2201
Er 0.0728 0.0728 0.7817
Se 0.6684 0.6684 0.9947
Te 0.4988 0.4988 0.5035

***

DFT (PBE-GGA) results for an optimized crystal structure of MoC2.

Summary:
As for the energy above the most stable polymorph in this dataset: 55.0 meV/atom. Its formation energy is 0.574 eV/atom. For the volume, the calculation gives 10.269 Å³ per atom. As for the symmetry: P-6m2, No. 187.

Cell: 2.9440 2.9440 4.1043 Å, 90.00 90.00 120.00°
Element x y z (fractional)
Mo 0.3333 0.6667 0.5000
C 0.0000 0.0000 0.1632
C 0.0000 0.0000 0.8368

***

DFT (PBE-GGA) results for an optimized crystal structure of Ga2SeCl.

Summary:
As for the formation energy (no corrections): -334 meV per atom. As for the energy above the most stable polymorph in this dataset: 0.0 meV/atom. For the volume, the calculation gives 26.533 Å³ per atom. As for the symmetry: I-42d, No. 122.

Cell: 7.2463 7.2463 6.5265 Å, 56.28 56.28 90.00°
Element x y z (fractional)
Ga 0.1086 0.6250 0.2500
Ga 0.3750 0.3586 0.7500
Ga 0.6414 0.1250 0.2500
Ga 0.8750 0.8914 0.7500
Cl 0.5000 0.5000 0.0000
Cl 0.2500 0.7500 0.5000
Se 0.0000 0.0000 0.0000
Se 0.7500 0.2500 0.5000

***

DFT (PBE-GGA) results for an optimized crystal structure of Dy6RuPb2.

Summary:
Its formation energy is -0.254 eV/atom. For the volume, the calculation gives 31.002 Å³ per atom. As for the symmetry: Immm, No. 71.

Cell: 5.2170 7.1597 8.6845 Å, 114.34 107.48 90.00°
Element x y z (fractional)
Pb 0.3256 0.3256 0.6512
Pb 0.6744 0.6744 0.3488
Dy 0.5000 0.2249 0.0000
Dy 0.8528 0.0940 0.7057
Dy 0.1472 0.9060 0.2943
Dy 0.5000 0.7751 0.0000
Dy 0.1472 0.3883 0.2943
Dy 0.8528 0.6117 0.7057
Ru 0.0000 0.0000 0.0000

***

DFT (PBE-GGA) results for an optimized crystal structure of KAc2AuSe4.

Summary:
As for the formation energy (no corrections): -1538 meV per atom. For the volume, the calculation gives 32.291 Å³ per atom. As for the symmetry: Cmcm, No. 63.

Cell: 4.4606 7.8542 15.3801 Å, 90.00 90.00 106.50°
Element x y z (fractional)
Se 0.2672 0.5344 0.3862
Se 0.2672 0.5344 0.1138
Se 0.7328 0.4656 0.6138
Se 0.0000 0.0000 0.5000
Se 0.5523 0.1046 0.2500
Se 0.7328 0.4656 0.8862
Se 0.4477 0.8954 0.7500
Se 0.0000 0.0000 0.0000
Ac 0.3666 0.7333 0.9336
Ac 0.6334 0.2667 0.4336
Ac 0.3666 0.7333 0.5664
Ac 0.6334 0.2667 0.0664
K 0.1187 0.2374 0.7500
K 0.8813 0.7626 0.2500
Au 0.1507 0.3013 0.2500
Au 0.8493 0.6987 0.7500

***

DFT (PBE-GGA) results for an optimized crystal structure of Mg2Al4Ag9.

Summary:
Its formation energy is -0.060 eV/atom. For the volume, the calculation gives 17.671 Å³ per atom. As for the symmetry: P-3m1, No. 164.

Cell: 4.5702 4.5702 14.6537 Å, 90.00 90.00 120.00°
Element x y z (fractional)
Al 0.6667 0.3333 0.8561
Al 0.3333 0.6667 0.3699
Al 0.3333 0.6667 0.1439
Al 0.6667 0.3333 0.6301
Ag 0.3333 0.6667 0.5741
Ag 0.6667 0.3333 0.0409
Ag 0.0000 0.0000 0.3103
Ag 0.3333 0.6667 0.9591
Ag 0.0000 0.0000 0.1159
Ag 0.0000 0.0000 0.6897
Ag 0.6667 0.3333 0.4259
Ag 0.0000 0.0000 0.5000
Ag 0.0000 0.0000 0.8841
Mg 0.3333 0.6667 0.7650
Mg 0.6667 0.3333 0.2350

***

DFT (PBE-GGA) results for an optimized crystal structure of Sm5Pd2Rh2.

Summary:
As for the energy above the most stable polymorph in this dataset: 0.0 meV/atom. Its formation energy is -0.713 eV/atom. For the volume, the calculation gives 24.460 Å³ per atom. As for the symmetry: Cmce, No. 64.

Cell: 7.6630 7.6809 8.4086 Å, 117.18 90.00 90.00°
Element x y z (fractional)
Sm 0.1667 0.4618 0.2675
Sm 0.3333 0.9618 0.2675
Sm 0.3333 0.6943 0.7325
Sm 0.5000 0.5000 0.0000
Sm 0.6667 0.0382 0.7325
Sm 0.6667 0.3057 0.2675
Sm 0.1667 0.1943 0.7325
Sm 0.8333 0.8057 0.2675
Sm 0.8333 0.5382 0.7325
Sm 0.0000 0.0000 0.0000
Pd 0.0000 0.2056 0.4111
Pd 0.5000 0.2944 0.5889
Pd 0.5000 0.7056 0.4111
Pd 0.0000 0.7944 0.5889
Rh 0.1319 0.6332 0.0000
Rh 0.8681 0.3668 0.0000
Rh 0.3681 0.1332 0.0000
Rh 0.6319 0.8668 0.0000

***

DFT (PBE-GGA) results for an optimized crystal structure of Si2BI.

Summary:
As for the formation energy (no corrections): 545 meV per atom. As for the energy above the most stable polymorph in this dataset: 129.1 meV/atom. For the volume, the calculation gives 28.572 Å³ per atom. As for the symmetry: P1, No. 1.

Cell: 3.4217 5.3429 7.0268 Å, 70.58 88.95 71.42°
Element x y z (fractional)
I 0.3481 0.4860 0.1399
Si 0.4668 0.2958 0.6720
Si 0.2565 0.7068 0.7565
B 0.0555 0.1169 0.6811

***

DFT (PBE-GGA) results for an optimized crystal structure of Na2LiH6.

Summary:
The total energy is -2.309 eV/atom. For the volume, the calculation gives 8.424 Å³ per atom. As for the symmetry: Fm-3m, No. 225.

Cell: 4.7508 4.7508 4.7508 Å, 60.00 60.00 60.00°
Element x y z (fractional)
Na 0.2500 0.2500 0.2500
Na 0.7500 0.7500 0.7500
Li 0.0000 0.0000 0.0000
H 0.3234 0.3234 0.6766
H 0.3234 0.6766 0.3234
H 0.3234 0.6766 0.6766
H 0.6766 0.3234 0.3234
H 0.6766 0.3234 0.6766
H 0.6766 0.6766 0.3234